Here is a relaxed structure of Cs2LaH2 from Alexandria. Energies are from PBE.

Computed properties:
Calculated total energy, eV per atom: -2.650
Space-group type: No. 8
Magnetic moment, μB/f.u.: 0.1

Cell lengths 22.974, 4.150, 3.802 Å; angles 90.00, 90.33, 90.00 degrees
Fractional coordinates of all 10 atoms:
Cs1 0.000 0.000 0.000
Cs2 0.206 0.500 0.489
Cs3 0.500 0.500 0.000
Cs4 0.706 0.000 0.489
La1 0.358 0.000 0.994
La2 0.858 0.500 0.994
H1 0.257 0.000 0.991
H2 0.427 0.000 0.496
H3 0.757 0.500 0.991
H4 0.927 0.500 0.496

***

Here is a relaxed structure of Cs2LaH2 from Alexandria. Energies are from PBE.

Computed properties:
Calculated total energy, eV per atom: -2.753
Space-group type: No. 1
Magnetic moment, μB/f.u.: 1.0

Cell lengths 4.213, 4.214, 11.857 Å; angles 89.76, 80.22, 60.03 degrees
Fractional coordinates of all 5 atoms:
Cs1 0.000 0.000 0.000
Cs2 0.375 0.820 0.399
La1 0.524 0.244 0.694
H1 0.166 0.923 0.733
H2 0.902 0.556 0.623

***

Here is a relaxed structure of CsLaH2 from Alexandria. Energies are from PBE.

Computed properties:
Calculated total energy, eV per atom: -3.217
Space-group type: No. 8
Magnetic moment, μB/f.u.: 0.0

Cell lengths 7.017, 4.048, 8.392 Å; angles 90.00, 106.77, 90.00 degrees
Fractional coordinates of all 8 atoms:
Cs1 0.000 0.000 0.000
Cs2 0.500 0.500 0.000
La1 0.173 0.000 0.535
La2 0.673 0.500 0.535
H1 0.268 0.000 0.811
H2 0.366 0.500 0.611
H3 0.768 0.500 0.811
H4 0.866 0.000 0.611

***

Here is a relaxed structure of Cs2LaH2 from Alexandria. Energies are from PBE.

Computed properties:
Calculated total energy, eV per atom: -2.635
Space-group type: No. 12
Magnetic moment, μB/f.u.: 0.2

Cell lengths 14.210, 6.889, 3.604 Å; angles 90.00, 103.27, 90.00 degrees
Fractional coordinates of all 10 atoms:
Cs1 0.148 0.000 0.134
Cs2 0.352 0.500 0.866
Cs3 0.648 0.500 0.134
Cs4 0.852 0.000 0.866
La1 0.000 0.500 0.000
La2 0.500 0.000 0.000
H1 0.000 0.253 0.500
H2 0.000 0.747 0.500
H3 0.500 0.247 0.500
H4 0.500 0.753 0.500

***

Here is a relaxed structure of CsLaH2 from Alexandria. Energies are from PBE.

Computed properties:
Calculated total energy, eV per atom: -3.306
Space-group type: No. 8
Magnetic moment, μB/f.u.: 0.0

Cell lengths 6.957, 4.023, 7.255 Å; angles 90.00, 90.01, 90.00 degrees
Fractional coordinates of all 8 atoms:
Cs1 0.000 0.000 0.000
Cs2 0.500 0.500 0.000
La1 0.334 0.000 0.513
La2 0.834 0.500 0.513
H1 0.000 0.000 0.437
H2 0.168 0.500 0.664
H3 0.500 0.500 0.437
H4 0.668 0.000 0.664

***

Here is a relaxed structure of Cs2LaH2 from Alexandria. Energies are from PBE.

Computed properties:
Calculated total energy, eV per atom: -2.691
Space-group type: No. 1
Magnetic moment, μB/f.u.: 1.4

Cell lengths 4.312, 4.312, 12.164 Å; angles 89.06, 89.38, 60.13 degrees
Fractional coordinates of all 5 atoms:
Cs1 0.000 0.000 0.000
Cs2 0.335 0.356 0.391
La1 0.669 0.677 0.704
H1 0.335 0.343 0.722
H2 0.667 0.671 0.889

***

Copy entry 4 word for word.
Here is a relaxed structure of Cs2LaH2 from Alexandria. Energies are from PBE.

Computed properties:
Calculated total energy, eV per atom: -2.635
Space-group type: No. 12
Magnetic moment, μB/f.u.: 0.2

Cell lengths 14.210, 6.889, 3.604 Å; angles 90.00, 103.27, 90.00 degrees
Fractional coordinates of all 10 atoms:
Cs1 0.148 0.000 0.134
Cs2 0.352 0.500 0.866
Cs3 0.648 0.500 0.134
Cs4 0.852 0.000 0.866
La1 0.000 0.500 0.000
La2 0.500 0.000 0.000
H1 0.000 0.253 0.500
H2 0.000 0.747 0.500
H3 0.500 0.247 0.500
H4 0.500 0.753 0.500

***

- Which formula does entry 5 have?
  CsLaH2